(1)
! Ac6Tl2Ir3 GGA-PBE optimized geometry; values from VASP
! crystal system: monoclinic
! calculated formation energy: -516.9 meV per atom
! space-group type: C2/m, No. 12
&SYSTEM
  ibrav = 0, nat = 11, ntyp = 3
/
ATOMIC_SPECIES
Ac 227.00 Ac.upf
Tl 204.38 Tl.upf
Ir 192.22 Ir.upf
CELL_PARAMETERS angstrom
7.221 0.000 2.163
3.610 6.509 1.082
0.000 0.000 8.852
ATOMIC_POSITIONS angstrom
Ac 1.657 2.204 7.643
Tl 3.611 4.400 5.508
Tl 7.221 2.110 6.590
Ac 5.564 2.204 3.373
Ac 5.267 4.306 8.725
Ir 3.610 2.176 1.082
Ir 0.000 0.000 0.000
Ir 7.221 4.334 2.163
Ac 1.910 0.000 2.242
Ac 9.175 4.306 4.455
Ac 5.311 0.000 8.774

***

(2)
! Ac2TlIr GGA-PBE optimized geometry; values from VASP
! crystal system: tetragonal
! calculated formation energy: -429.2 meV per atom
! space-group type: P4/mmm, No. 123
! energy above the lowest structure with this stoichiometry: 0.40 eV per formula unit
&SYSTEM
  ibrav = 0, nat = 4, ntyp = 3
/
ATOMIC_SPECIES
Ac 227.00 Ac.upf
Ir 192.22 Ir.upf
Tl 204.38 Tl.upf
CELL_PARAMETERS angstrom
3.755 0.000 0.000
0.000 3.755 0.000
0.000 0.000 8.705
ATOMIC_POSITIONS angstrom
Ac 0.000 0.000 1.778
Ac 0.000 0.000 6.927
Ir 1.877 1.877 0.000
Tl 1.877 1.877 4.353

***

(3)
! Ac5Tl2Ir GGA-PBE optimized geometry; values from VASP
! crystal system: orthorhombic
! calculated formation energy: -261.3 meV per atom
! space-group type: Cmcm, No. 63
! energy above the lowest structure with this stoichiometry: 1.22 eV per formula unit
&SYSTEM
  ibrav = 0, nat = 16, ntyp = 3
/
ATOMIC_SPECIES
Tl 204.38 Tl.upf
Ac 227.00 Ac.upf
Ir 192.22 Ir.upf
CELL_PARAMETERS angstrom
-2.433 5.286 2.087
-4.169 -5.330 -0.516
3.742 -4.438 15.603
ATOMIC_POSITIONS angstrom
Tl -2.229 -0.690 8.304
Tl 0.855 -5.553 15.062
Ac 0.101 -0.586 10.758
Tl -3.715 1.071 2.111
Ir -1.097 -2.026 13.009
Ac -2.961 -3.895 6.415
Ac -2.980 0.187 5.208
Ac -3.298 -2.283 11.094
Ac -3.960 -2.710 2.247
Ac 1.101 -1.772 14.926
Tl -0.630 -3.792 8.869
Ac -2.299 -3.467 15.257
Ac 0.121 -4.668 11.965
Ac -0.560 -1.015 1.917
Ir -1.762 -2.455 4.165
Ac 0.438 -2.199 6.080

***

(4)
! Ac5Tl2Ir2 GGA-PBE optimized geometry; values from VASP
! crystal system: orthorhombic
! calculated formation energy: -375.9 meV per atom
! space-group type: Ima2, No. 46
! energy above the lowest structure with this stoichiometry: 0.82 eV per formula unit
&SYSTEM
  ibrav = 0, nat = 18, ntyp = 3
/
ATOMIC_SPECIES
Ac 227.00 Ac.upf
Ir 192.22 Ir.upf
Tl 204.38 Tl.upf
CELL_PARAMETERS angstrom
-3.574 8.553 -2.260
-6.549 -2.114 2.356
7.076 -0.177 8.281
ATOMIC_POSITIONS angstrom
Ac 0.354 1.889 2.088
Ac -3.056 4.485 6.166
Ac 1.206 3.176 5.612
Ac -1.693 -0.260 5.469
Ir -4.448 3.418 -0.173
Ac -0.876 6.677 2.736
Ir 1.034 0.441 4.553
Ac 1.213 0.492 8.366
Tl -0.085 6.309 6.047
Ac -3.934 6.670 -0.396
Tl -1.452 4.245 0.396
Ir -4.829 5.580 4.093
Ir -5.936 -1.916 2.136
Tl -3.326 -0.164 2.460
Tl -1.959 1.900 8.112
Ac -6.916 4.913 0.967
Ac -3.909 3.197 2.641
Ac 4.779 0.849 7.373

***

(5)
! AcTlIr GGA-PBE optimized geometry; values from VASP
! crystal system: trigonal
! calculated formation energy: -240.3 meV per atom
! space-group type: P3m1, No. 156
! energy above the lowest structure with this stoichiometry: 0.65 eV per formula unit
&SYSTEM
  ibrav = 0, nat = 3, ntyp = 3
/
ATOMIC_SPECIES
Ir 192.22 Ir.upf
Tl 204.38 Tl.upf
Ac 227.00 Ac.upf
CELL_PARAMETERS angstrom
-3.543 1.815 1.451
-1.730 -4.275 1.125
2.550 2.439 3.175
ATOMIC_POSITIONS angstrom
Ir -0.457 0.234 0.187
Tl 0.474 0.534 2.757
Ac -2.739 -0.789 2.806

***

(6)
! Ac5Tl2Ir GGA-PBE optimized geometry; values from VASP
! crystal system: orthorhombic
! calculated formation energy: -414.0 meV per atom
! space-group type: Pbam, No. 55
! energy above the lowest structure with this stoichiometry: 0.00 eV per formula unit
&SYSTEM
  ibrav = 0, nat = 16, ntyp = 3
/
ATOMIC_SPECIES
Ac 227.00 Ac.upf
Tl 204.38 Tl.upf
Ir 192.22 Ir.upf
CELL_PARAMETERS angstrom
4.928 0.000 0.000
0.000 9.116 0.000
0.000 0.000 13.119
ATOMIC_POSITIONS angstrom
Ac 2.464 7.488 12.209
Ac 2.464 1.629 0.911
Ac 0.000 5.831 9.186
Ac 0.000 7.843 2.626
Ac 0.000 4.558 0.000
Tl 2.464 8.437 8.802
Tl 2.464 0.680 4.317
Ac 2.464 6.187 5.649
Ir 0.000 4.558 6.560
Tl 2.464 5.238 2.242
Ac 0.000 3.285 3.934
Ac 0.000 0.000 6.560
Ac 0.000 1.273 10.493
Ac 2.464 2.929 7.470
Tl 2.464 3.879 10.877
Ir 0.000 0.000 0.000

***

Theoretical density in g/cm³, matching the order above: 9.368, 11.509, 9.274, 10.148, 12.525, 9.783